1.
This record from Alexandria via LeMat-Bulk describes Ba2InOs after structural relaxation. The functional is GGA-PBE. Values from VASP.

Calculated values
DOS at the Fermi energy, states/eV/cell: 4.2
SG: P4mm
Theoretical density, g cm⁻³: 7.1
ΔH_f (0 K), eV per atom: 0.367

Structure (Quantum ESPRESSO input):
```
&SYSTEM
  ibrav = 0, nat = 4, ntyp = 3
/
ATOMIC_SPECIES
Ba 137.33 Ba.upf
In 114.82 In.upf
Os 190.23 Os.upf
ATOMIC_POSITIONS crystal
Ba 0.0000 0.0000 0.9066
Ba 0.5000 0.5000 0.3393
In 0.0000 0.0000 0.5732
Os 0.5000 0.5000 0.6810
CELL_PARAMETERS angstrom
-3.2822 0.5553 -1.7006
-1.7742 -0.5541 3.2432
0.6000 9.5469 1.9594
```

2.
This record from Alexandria via LeMat-Bulk describes NpTcP2Ru2 after structural relaxation. The functional is GGA-PBE. Values from VASP.

Calculated values
DOS at the Fermi energy, states/eV/cell: 19.8
SG: Pmc2_1
Theoretical density, g cm⁻³: 10.7
ΔH_f (0 K), eV per atom: -0.488

Structure (Quantum ESPRESSO input):
```
&SYSTEM
  ibrav = 0, nat = 12, ntyp = 4
/
ATOMIC_SPECIES
Np 237.00 Np.upf
Tc 98.00 Tc.upf
P 30.97 P.upf
Ru 101.07 Ru.upf
ATOMIC_POSITIONS crystal
Np 0.0000 0.9917 0.3968
Np 0.0000 0.4917 0.6032
Tc 0.5000 0.1463 0.6934
Tc 0.5000 0.6463 0.3066
P 0.0000 0.1933 0.8794
P 0.5000 0.2929 0.3585
P 0.0000 0.6933 0.1206
P 0.5000 0.7929 0.6415
Ru 0.5000 0.0593 0.0967
Ru 0.0000 0.3623 0.1594
Ru 0.5000 0.5593 0.9033
Ru 0.0000 0.8623 0.8406
CELL_PARAMETERS angstrom
-1.7042 2.2285 -2.7363
-2.7991 -5.6306 -2.8423
-5.5117 0.7137 4.0141
```

3.
This record from Alexandria via LeMat-Bulk describes CrFeCu after structural relaxation. The functional is GGA-PBE. Values from VASP.

Calculated values
DOS at the Fermi energy, states/eV/cell: 2.4
SG: P3m1
Relative energy among the computed polymorphs, meV per atom: 6
Theoretical density, g cm⁻³: 8.2
ΔH_f (0 K), eV per atom: 0.205

Structure (Quantum ESPRESSO input):
```
&SYSTEM
  ibrav = 0, nat = 3, ntyp = 3
/
ATOMIC_SPECIES
Cr 52.00 Cr.upf
Cu 63.55 Cu.upf
Fe 55.84 Fe.upf
ATOMIC_POSITIONS crystal
Cr 0.0000 0.0000 0.9469
Cu 0.3333 0.6667 0.3476
Fe 0.6667 0.3333 0.7055
CELL_PARAMETERS angstrom
4.0634 0.0000 0.0000
-2.0317 3.5190 0.0000
0.0000 0.0000 2.4260
```

4.
This record from Alexandria via LeMat-Bulk describes Ac3SiAs after structural relaxation. The functional is GGA-PBE. Values from VASP.

Calculated values
DOS at the Fermi energy, states/eV/cell: 3.5
SG: Pm-3m
ΔE_f (raw), eV per atom: -0.1769
Theoretical density, g cm⁻³: 6.4

Structure (Quantum ESPRESSO input):
```
&SYSTEM
  ibrav = 0, nat = 5, ntyp = 3
/
ATOMIC_SPECIES
Ac 227.00 Ac.upf
Si 28.09 Si.upf
As 74.92 As.upf
ATOMIC_POSITIONS crystal
Ac 0.0000 0.5000 0.0000
Ac 0.0000 0.0000 0.5000
Ac 0.5000 0.0000 0.0000
Si 0.5000 0.5000 0.5000
As 0.0000 0.0000 0.0000
CELL_PARAMETERS angstrom
5.8749 0.0000 0.0000
0.0000 5.8749 0.0000
0.0000 0.0000 5.8749
```